1.
Here is MnAlFe2N after structural relaxation from Alexandria via LeMat-Bulk. Energies are from GGA-PBE.

abc: 3.784 3.784 3.714
angles: 90.00 90.00 90.00
Positions (direct):
Mn1 0.000 0.000 0.000
Al1 0.500 0.500 0.000
Fe1 0.000 0.500 0.500
Fe2 0.500 0.000 0.500
N1 0.000 0.000 0.500

## Properties
Calculated density   6.5 Mg/m³
Crystal system   tetragonal
Uncorrected energy   -7.93 eV/atom
Total magnetic moment   3.46 μB per formula unit
Fermi-level density of states   3.666 states/eV/f.u.

2.
Here is MnNbAlFe after structural relaxation from Alexandria via LeMat-Bulk. Energies are from GGA-PBE.

abc: 4.215 4.215 4.215
angles: 60.00 60.00 60.00
Positions (direct):
Mn1 0.000 0.000 0.000
Nb1 0.750 0.750 0.750
Al1 0.250 0.250 0.250
Fe1 0.500 0.500 0.500

## Properties
Calculated density   7.2 Mg/m³
Crystal system   cubic
Uncorrected energy   -8.14 eV/atom
Total magnetic moment   0.95 μB per formula unit
Formation enthalpy at 0 K   -0.28 eV per atom
Fermi-level density of states   4.068 states/eV/f.u.

3.
Here is Nd2MnAl12Fe3 after structural relaxation from Alexandria via LeMat-Bulk. Energies are from GGA-PBE.

abc: 7.900 7.900 7.900
angles: 72.94 72.94 72.94
Positions (direct):
Nd1 0.230 0.230 0.230
Nd2 0.770 0.770 0.770
Mn1 0.500 0.500 0.500
Al1 0.166 0.619 0.619
Al2 0.253 0.253 0.606
Al3 0.253 0.606 0.253
Al4 0.381 0.381 0.834
Al5 0.381 0.834 0.381
Al6 0.394 0.747 0.747
Al7 0.606 0.253 0.253
Al8 0.619 0.166 0.619
Al9 0.619 0.619 0.166
Al10 0.747 0.394 0.747
Al11 0.747 0.747 0.394
Al12 0.834 0.381 0.381
Fe1 0.000 0.500 0.500
Fe2 0.500 0.000 0.500
Fe3 0.500 0.500 0.000

## Properties
Calculated density   3.2 Mg/m³
Crystal system   trigonal
Uncorrected energy   -4.73 eV/atom
Total magnetic moment   5.65 μB per formula unit
Formation enthalpy at 0 K   0.21 eV per atom
Fermi-level density of states   11.188 states/eV/f.u.